An optimized crystal structure of VCu3O4. Source: Alexandria, functional PBE+U.

The calculation puts the calculated total energy at -94.59 eV/cell. The calculation puts the calculated density at 5.33 Mg/m³. The total magnetization is 0.0 μB/f.u.

It has space group I-42m (No. 121), with a = 4.589 Å, b = 4.589 Å, c = 9.042 Å, α = 90.00°, β = 90.00° and γ = 90.00°. The asymmetric unit holds V at (0.000, 0.000, 0.000), Cu at (0.000, 0.000, 0.500), Cu at (0.000, 0.500, 0.250) and O at (0.226, 0.226, 0.114).